Computed, not measured: Rb2SrCuF6 after structural relaxation at the PBE level of DFT.

The value obtained for the formation energy (no corrections) is -2.71 eV/atom. As for the energy: -46.07 eV per formula unit. As for the size of the total moment: 2.000 μB per cell.

The space group is I4/mmm (No. 139) and the conventional cell measures 6.370, 6.370 and 8.694 Å, with angles of 90.00, 90.00 and 90.00 degrees. The asymmetric unit holds Rb at (0.000, 0.500, 0.250), Sr at (0.000, 0.000, 0.000), Cu at (0.000, 0.000, 0.500), F at (0.000, 0.000, 0.275) and F at (0.236, 0.236, 0.500).